VASP calculation (PBE-GGA) on an optimized crystal structure of La7Pr2Ho.

```
La7Pr2Ho
1.0
-3.178 0.737 -1.376
2.812 -6.391 -9.919
-3.937 -5.080 6.374
Pr La Ho
2 7 1
Direct
0.500 0.897 0.294 Pr
0.500 0.103 0.706 Pr
0.500 0.500 0.500 La
0.500 0.310 0.087 La
0.500 0.193 0.383 La
0.000 0.389 0.781 La
0.000 0.611 0.219 La
0.500 0.807 0.617 La
0.500 0.690 0.913 La
0.000 0.000 0.000 Ho
```

Calculated values
- calculated volume (Å³ per atom) = 35.9
- crystal system = monoclinic
- space-group type = P2/m, No. 10
- ΔE_f (meV/atom) = 123.7
- size of the total moment (μB/f.u.) = 0.0